(1)
{"formula": "Th3NiP2N8", "functional": "PBE", "state": "optimized geometry", "lattice": [[5.362, 0.000, 0.000], [-2.681, 4.643, 0.000], [0.000, 0.000, 6.880]], "species": ["Th", "Th", "Th", "Ni", "P", "P", "N", "N", "N", "N", "N", "N", "N", "N"], "frac_coords": [[0.000, 0.000, 0.000], [0.333, 0.667, 0.660], [0.667, 0.333, 0.340], [0.000, 0.000, 0.500], [0.333, 0.667, 0.213], [0.667, 0.333, 0.787], [0.169, 0.338, 0.299], [0.169, 0.831, 0.299], [0.333, 0.667, 0.977], [0.338, 0.169, 0.701], [0.662, 0.831, 0.299], [0.667, 0.333, 0.023], [0.831, 0.169, 0.701], [0.831, 0.662, 0.701]], "spacegroup": "P-3m1", "e_form_raw_mev_per_atom": -1028.2, "dft_energy_ev_per_atom": -8.561, "crystal_system": "trigonal"}


(2)
{"formula": "ThNi2PN4", "functional": "PBE", "state": "optimized geometry", "lattice": [[-2.624, 2.624, 3.203], [2.624, -2.624, 3.203], [2.624, 2.624, -3.203]], "species": ["Th", "Ni", "Ni", "P", "N", "N", "N", "N"], "frac_coords": [[0.000, 0.000, 0.000], [0.250, 0.750, 0.500], [0.750, 0.250, 0.500], [0.500, 0.500, 0.000], [0.164, 0.164, 0.636], [0.472, 0.836, 0.000], [0.528, 0.528, 0.364], [0.836, 0.472, 0.000]], "spacegroup": "I-42m", "e_form_raw_mev_per_atom": -617.3, "dft_energy_ev_per_atom": -7.829, "crystal_system": "tetragonal"}


(3)
{"formula": "ThNi2PN", "functional": "PBE", "state": "optimized geometry", "lattice": [[1.802, -5.610, 0.000], [1.802, 5.610, 0.000], [0.000, 0.000, 6.731]], "species": ["Th", "Th", "Ni", "Ni", "Ni", "Ni", "P", "P", "N", "N"], "frac_coords": [[0.041, 0.959, 0.750], [0.959, 0.041, 0.250], [0.321, 0.679, 0.559], [0.321, 0.679, 0.941], [0.679, 0.321, 0.059], [0.679, 0.321, 0.441], [0.233, 0.767, 0.250], [0.767, 0.233, 0.750], [0.500, 0.500, 0.000], [0.500, 0.500, 0.500]], "spacegroup": "Cmcm", "e_form_raw_mev_per_atom": -1015.4, "dft_energy_ev_per_atom": -7.559, "crystal_system": "orthorhombic"}


(4)
{"formula": "UNiPN", "functional": "PBE", "state": "optimized geometry", "lattice": [[3.762, 0.000, 0.000], [0.000, 3.762, 0.000], [0.000, 0.000, 7.672]], "species": ["U", "U", "Ni", "Ni", "P", "P", "N", "N"], "frac_coords": [[0.250, 0.250, 0.159], [0.750, 0.750, 0.841], [0.250, 0.750, 0.500], [0.750, 0.250, 0.500], [0.250, 0.250, 0.664], [0.750, 0.750, 0.336], [0.250, 0.750, 0.000], [0.750, 0.250, 0.000]], "spacegroup": "P4/nmm", "e_form_raw_mev_per_atom": -1137.0, "dft_energy_ev_per_atom": -8.838, "crystal_system": "tetragonal"}


(5)
{"formula": "Pa2NiN4", "functional": "PBE", "state": "optimized geometry", "lattice": [[6.474, -1.878, 0.000], [6.474, 1.878, 0.000], [-4.141, 0.000, 8.332]], "species": ["Pa", "Pa", "Pa", "Pa", "Ni", "Ni", "N", "N", "N", "N", "N", "N", "N", "N"], "frac_coords": [[0.113, 0.113, 0.428], [0.332, 0.332, 0.200], [0.668, 0.668, 0.800], [0.887, 0.887, 0.572], [0.408, 0.408, 0.880], [0.592, 0.592, 0.120], [0.083, 0.083, 0.655], [0.288, 0.288, 0.416], [0.291, 0.291, 0.929], [0.468, 0.468, 0.741], [0.532, 0.532, 0.259], [0.709, 0.709, 0.071], [0.712, 0.712, 0.584], [0.917, 0.917, 0.345]], "spacegroup": "C2/m", "e_form_raw_mev_per_atom": -1177.7, "dft_energy_ev_per_atom": -9.474, "crystal_system": "monoclinic"}


(6)
{"formula": "Pa4NiN7", "functional": "PBE", "state": "optimized geometry", "lattice": [[6.289, -1.936, 0.000], [6.289, 1.936, 0.000], [-6.071, 0.000, 6.545]], "species": ["Pa", "Pa", "Pa", "Pa", "Ni", "N", "N", "N", "N", "N", "N", "N"], "frac_coords": [[0.079, 0.079, 0.373], [0.245, 0.245, 0.158], [0.755, 0.755, 0.842], [0.921, 0.921, 0.627], [0.500, 0.500, 0.000], [0.000, 0.000, 0.000], [0.130, 0.130, 0.684], [0.301, 0.301, 0.456], [0.405, 0.405, 0.109], [0.595, 0.595, 0.891], [0.699, 0.699, 0.544], [0.870, 0.870, 0.316]], "spacegroup": "C2/m", "e_form_raw_mev_per_atom": -1482.1, "dft_energy_ev_per_atom": -9.986, "crystal_system": "monoclinic"}


> Which formula does entry 1 have?

Th3NiP2N8